Record 1
Below is a relaxed CsSn2Pb2 crystal, with properties calculated at the GGA-PBE level.

Computed properties:
Crystal system: tetragonal
ΔE to the lowest computed polymorph: 0.000 eV/atom
Formation energy from the elements: -0.142 eV/atom

a = 5.348 Å, b = 5.348 Å, c = 7.609 Å
α = 69.43°, β = 69.43°, γ = 90.00°
Fractional positions:
Pb  0.750  0.250  0.500
Pb  0.250  0.750  0.500
Cs  0.000  0.000  0.000
Sn  0.381  0.381  0.238
Sn  0.619  0.619  0.762

Record 2
Below is a relaxed Rb5HgSb2 crystal, with properties calculated at the GGA-PBE level.

Computed properties:
Crystal system: trigonal
Uncorrected formation energy: -0.32 eV per atom

a = 6.349 Å, b = 6.349 Å, c = 11.405 Å
α = 73.84°, β = 73.84°, γ = 60.00°
Fractional positions:
Rb  0.500  0.500  0.500
Rb  0.373  0.373  0.882
Rb  0.627  0.627  0.118
Rb  0.220  0.220  0.339
Rb  0.780  0.780  0.661
Hg  0.000  0.000  0.000
Sb  0.088  0.088  0.737
Sb  0.912  0.912  0.263

Record 3
Below is a relaxed NdPu2C crystal, with properties calculated at the GGA-PBE level.

Computed properties:
Crystal system: trigonal
ΔE to the lowest computed polymorph: 0.089 eV/atom
Formation energy from the elements: 0.334 eV/atom

a = 3.956 Å, b = 3.956 Å, c = 6.759 Å
α = 72.98°, β = 72.98°, γ = 60.00°
Fractional positions:
C  0.000  0.000  0.000
Nd  0.500  0.500  0.500
Pu  0.310  0.310  0.069
Pu  0.690  0.690  0.931

Record 4
Below is a relaxed Mg4HgAu2 crystal, with properties calculated at the GGA-PBE level.

Computed properties:
Crystal system: trigonal
ΔE to the lowest computed polymorph: 0.081 eV/atom
Formation energy from the elements: -0.345 eV/atom

a = 4.403 Å, b = 4.403 Å, c = 9.901 Å
α = 77.15°, β = 77.15°, γ = 60.00°
Fractional positions:
Mg  0.392  0.392  0.824
Mg  0.198  0.198  0.407
Mg  0.802  0.802  0.593
Mg  0.608  0.608  0.176
Hg  0.000  0.000  0.000
Au  0.100  0.100  0.699
Au  0.900  0.900  0.301

Record 5
Below is a relaxed Mg2MnCo crystal, with properties calculated at the GGA-PBE level.

Computed properties:
Crystal system: orthorhombic
ΔE to the lowest computed polymorph: 0.152 eV/atom
Formation energy from the elements: 0.235 eV/atom

a = 2.803 Å, b = 3.939 Å, c = 5.600 Å
α = 90.00°, β = 90.00°, γ = 90.00°
Fractional positions:
Co  0.500  0.500  0.750
Mg  0.000  0.000  0.991
Mg  0.000  0.000  0.509
Mn  0.500  0.500  0.250

Record 6
Below is a relaxed PuInHg2 crystal, with properties calculated at the GGA-PBE level.

Computed properties:
Crystal system: tetragonal
Formation energy from the elements: -0.095 eV/atom

a = 3.458 Å, b = 3.458 Å, c = 8.514 Å
α = 90.00°, β = 90.00°, γ = 90.00°
Fractional positions:
In  0.500  0.500  0.000
Hg  0.000  0.000  0.754
Hg  0.000  0.000  0.246
Pu  0.500  0.500  0.500

Record 7
Below is a relaxed ThInTe2 crystal, with properties calculated at the GGA-PBE level.

Computed properties:
Crystal system: tetragonal
Uncorrected formation energy: -0.82 eV per atom

a = 3.967 Å, b = 3.967 Å, c = 7.695 Å
α = 90.00°, β = 90.00°, γ = 90.00°
Fractional positions:
Te  0.000  0.000  0.773
Te  0.000  0.000  0.227
Th  0.500  0.500  0.000
In  0.500  0.500  0.500

Record 8
Below is a relaxed AlSb2C crystal, with properties calculated at the GGA-PBE level.

Computed properties:
Crystal system: cubic
ΔE to the lowest computed polymorph: 0.586 eV/atom
Uncorrected formation energy: 1.36 eV per atom

a = 4.762 Å, b = 4.762 Å, c = 4.762 Å
α = 60.00°, β = 60.00°, γ = 60.00°
Fractional positions:
Sb  0.250  0.250  0.250
Sb  0.750  0.750  0.750
C  0.000  0.000  0.000
Al  0.500  0.500  0.500

no.,size of the total moment (μB/cell),density (Mg/m³)
1,0.00,6.900
2,0.00,3.838
3,1.15,12.407
4,0.00,7.151
5,4.46,4.364
6,5.93,12.395
7,0.00,8.254
8,0.00,6.145